The following is a PBE-GGA calculation of a relaxed Tb4NdMg5 crystal, from Alexandria.

Cell lengths 3.811, 3.811, 19.141 Å; angles 90.00, 90.00, 90.00 degrees
Fractional positions:
Tb1 0.000 0.000 0.099
Tb2 0.000 0.000 0.296
Tb3 0.000 0.000 0.704
Tb4 0.000 0.000 0.901
Nd1 0.000 0.000 0.500
Mg1 0.500 0.500 0.000
Mg2 0.500 0.500 0.197
Mg3 0.500 0.500 0.395
Mg4 0.500 0.500 0.605
Mg5 0.500 0.500 0.803

As for the space-group type: No. 123. Its formation energy is -0.0897 eV per atom. As for the spin magnetization: 0.00 μB/f.u.


The following is a PBE-GGA calculation of a relaxed LaTe2H2 crystal, from Alexandria.

Cell lengths 4.321, 4.321, 10.345 Å; angles 90.00, 90.00, 90.00 degrees
Fractional positions:
La1 0.000 0.000 0.000
La2 0.500 0.500 0.500
Te1 0.000 0.000 0.338
Te2 0.000 0.000 0.662
Te3 0.500 0.500 0.162
Te4 0.500 0.500 0.838
H1 0.000 0.500 0.250
H2 0.000 0.500 0.750
H3 0.500 0.000 0.250
H4 0.500 0.000 0.750

As for the space-group type: No. 139. The calculation puts the total DFT energy (no corrections) at -3.702 eV/atom. As for the spin magnetization: 0.00 μB/f.u.


The following is a PBE-GGA calculation of a relaxed HfAgMo2 crystal, from Alexandria.

Cell lengths 3.868, 3.868, 20.140 Å; angles 90.00, 90.00, 90.00 degrees
Fractional positions:
Hf1 0.000 0.000 0.000
Hf2 0.000 0.500 0.250
Hf3 0.500 0.000 0.750
Hf4 0.500 0.500 0.500
Ag1 0.000 0.000 0.500
Ag2 0.000 0.500 0.750
Ag3 0.500 0.000 0.250
Ag4 0.500 0.500 0.000
Mo1 0.229 0.250 0.125
Mo2 0.250 0.729 0.375
Mo3 0.250 0.771 0.875
Mo4 0.271 0.250 0.625
Mo5 0.729 0.750 0.625
Mo6 0.750 0.229 0.875
Mo7 0.750 0.271 0.375
Mo8 0.771 0.750 0.125

As for the space-group type: No. 122. The excess energy over the best structure of this formula in the dataset comes out at 0.095 eV/atom. Its formation energy is 0.6429 eV per atom. As for the spin magnetization: 0.00 μB/f.u.